Entry from Alexandria: crystalline LaCrN2O at its relaxed geometry (PBE+U).

The value obtained for the theoretical density is 4.5 Mg/m³. The calculation puts the electronic total energy at -6.24 eV per atom. The calculated volume comes out at 86.9 Å³/cell. Its spin magnetization is 3.05 μB/f.u. The density of states at the Fermi level comes out at 4.6 states/eV per cell.

abc: 4.421 4.421 4.446
angles: 90.00 90.00 90.00
Space group P4/mmm (No. 123)
One atom of each set of equivalent atoms:
La: 0.000 0.000 0.000 (multiplicity 1)
Cr: 0.500 0.500 0.500 (multiplicity 1)
N: 0.000 0.500 0.000 (multiplicity 2)
O: 0.000 0.000 0.500 (multiplicity 1)